1.
# Be2TcHg (GGA-PBE, optimized geometry)
# Crystal system   trigonal
# Formation energy   446 meV per atom
# Total magnetic moment   0.00 μB/f.u.
# Density of states at the Fermi level   9.57 states/eV/cell
data_Be2TcHg
_cell_length_a 2.8389
_cell_length_b 2.8389
_cell_length_c 24.6275
_cell_angle_alpha 90.00
_cell_angle_beta 90.00
_cell_angle_gamma 120.00
_space_group_name_H-M_alt 'R -3 m'
_space_group_IT_number 166
_space_group_name_Hall '-R 3 2"'
loop_
_atom_site_label
_atom_site_type_symbol
_atom_site_fract_x
_atom_site_fract_y
_atom_site_fract_z
_atom_site_occupancy
Be1 Be 0.0000 0.0000 0.2384 1
Tc1 Tc 0.0000 0.0000 0.5000 1
Hg1 Hg 0.0000 0.0000 0.0000 1

=====

2.
# ThCoSi2Rh (GGA-PBE, optimized geometry)
# Crystal system   tetragonal
# Total magnetic moment   0.00 μB/f.u.
# ΔE_f (raw)   -0.929 eV/atom
# Density of states at the Fermi level   6.47 states/eV/cell
data_ThCoSi2Rh
_cell_length_a 4.058
_cell_length_b 4.058
_cell_length_c 10.015
_cell_angle_alpha 90.00
_cell_angle_beta 90.00
_cell_angle_gamma 90.00
_space_group_name_H-M_alt 'I -4 m 2'
_space_group_IT_number 119
_space_group_name_Hall 'I -4 -2'
loop_
_atom_site_label
_atom_site_type_symbol
_atom_site_fract_x
_atom_site_fract_y
_atom_site_fract_z
_atom_site_occupancy
Th1 Th 0.000 0.000 0.000 1
Co1 Co 0.000 0.500 0.250 1
Si1 Si 0.000 0.000 0.376 1
Rh1 Rh 0.000 0.500 0.750 1

=====

3.
# Cs2Cu2SbCl6 (GGA-PBE, optimized geometry)
# Crystal system   monoclinic
# Total magnetic moment   0.97 μB/f.u.
# ΔE_f (raw)   -1.042 eV/atom
# Density of states at the Fermi level   0.72 states/eV/cell
data_Cs2Cu2SbCl6
_cell_length_a 14.059
_cell_length_b 7.327
_cell_length_c 7.252
_cell_angle_alpha 90.00
_cell_angle_beta 110.08
_cell_angle_gamma 90.00
_space_group_name_H-M_alt 'C 1 2/m 1'
_space_group_IT_number 12
loop_
_space_group_symop_operation_xyz
'x,y,z'
'-x,-y,-z'
'-x,y,-z'
'x,-y,z'
'x+1/2,y+1/2,z'
'-x+1/2,-y+1/2,-z'
'-x+1/2,y+1/2,-z'
'x+1/2,-y+1/2,z'
loop_
_atom_site_label
_atom_site_type_symbol
_atom_site_fract_x
_atom_site_fract_y
_atom_site_fract_z
_atom_site_occupancy
Cs1 Cs 0.221 0.000 0.202 1
Cu1 Cu 0.048 0.500 0.204 1
Sb1 Sb 0.000 0.000 0.500 1
Cl1 Cl 0.049 0.253 0.785 1
Cl2 Cl 0.213 0.500 0.273 1

=====

4.
# In3Sn4Te8 (GGA-PBE, optimized geometry)
# Crystal system   monoclinic
# Total magnetic moment   0.00 μB/f.u.
# ΔE_f (raw)   -0.251 eV/atom
# Density of states at the Fermi level   15.51 states/eV/cell
data_In3Sn4Te8
_cell_length_a 12.491
_cell_length_b 12.499
_cell_length_c 8.830
_cell_angle_alpha 90.00
_cell_angle_beta 134.92
_cell_angle_gamma 90.00
_space_group_name_H-M_alt 'C 1 2/m 1'
_space_group_IT_number 12
loop_
_space_group_symop_operation_xyz
'x,y,z'
'-x,-y,-z'
'-x,y,-z'
'x,-y,z'
'x+1/2,y+1/2,z'
'-x+1/2,-y+1/2,-z'
'-x+1/2,y+1/2,-z'
'x+1/2,-y+1/2,z'
loop_
_atom_site_label
_atom_site_type_symbol
_atom_site_fract_x
_atom_site_fract_y
_atom_site_fract_z
_atom_site_occupancy
In1 In 0.000 0.000 0.000 1
In2 In 0.250 0.250 0.500 1
Sn1 Sn 0.000 0.000 0.500 1
Sn2 Sn 0.000 0.500 0.000 1
Sn3 Sn 0.250 0.250 0.000 1
Te1 Te 0.000 0.249 0.000 1
Te2 Te 0.000 0.253 0.500 1
Te3 Te 0.249 0.500 0.504 1
Te4 Te 0.249 0.500 0.996 1

=====

5.
# Ba2PdS (GGA-PBE, optimized geometry)
# Crystal system   trigonal
# Total magnetic moment   0.00 μB/f.u.
# ΔE_f (raw)   -1.147 eV/atom
data_Ba2PdS
_cell_length_a 4.4806
_cell_length_b 4.4806
_cell_length_c 23.7802
_cell_angle_alpha 90.00
_cell_angle_beta 90.00
_cell_angle_gamma 120.00
_space_group_name_H-M_alt 'R 3 m'
_space_group_IT_number 160
_space_group_name_Hall 'R 3 -2"'
loop_
_atom_site_label
_atom_site_type_symbol
_atom_site_fract_x
_atom_site_fract_y
_atom_site_fract_z
_atom_site_occupancy
Ba1 Ba 0.0000 0.0000 0.0000 1
Ba2 Ba 0.0000 0.0000 0.1644 1
Pd1 Pd 0.0000 0.0000 0.5822 1
S1 S 0.0000 0.0000 0.7489 1

=====

6.
# As2IrBr (GGA-PBE, optimized geometry)
# Crystal system   cubic
# Distance to the lowest polymorph of the same formula   0.8486 eV/atom
# Total magnetic moment   0.00 μB/f.u.
# ΔE_f (raw)   0.669 eV/atom
# Density of states at the Fermi level   10.78 states/eV/cell
data_As2IrBr
_cell_length_a 6.594
_cell_length_b 6.594
_cell_length_c 6.594
_cell_angle_alpha 90.00
_cell_angle_beta 90.00
_cell_angle_gamma 90.00
_space_group_name_H-M_alt 'F m -3 m'
_space_group_IT_number 225
_space_group_name_Hall '-F 4 2 3'
loop_
_atom_site_label
_atom_site_type_symbol
_atom_site_fract_x
_atom_site_fract_y
_atom_site_fract_z
_atom_site_occupancy
As1 As 0.250 0.250 0.250 1
Ir1 Ir 0.000 0.000 0.000 1
Br1 Br 0.000 0.000 0.500 1